Record 1
Density functional theory data (PBE-GGA) for a relaxed structure of La8P3PtCl4.

```
La8P3PtCl4
1.0
4.2543 2.4562 6.9021
-4.2543 2.4562 6.9021
0.0000 -4.9125 6.9021
La P Pt Cl
8 3 1 4
Cartesian
-2.1527 -1.2429 11.9460 La
0.0000 0.0000 5.0173 La
0.0000 -2.4857 8.7604 La
-2.1527 1.2429 8.7604 La
2.1527 -1.2429 11.9460 La
0.0000 2.4857 11.9460 La
0.0000 0.0000 15.6891 La
2.1527 1.2429 8.7604 La
-4.2543 0.0000 10.3532 P
-2.1272 1.2281 3.4511 P
2.1272 1.2281 3.4511 P
0.0000 0.0000 10.3532 Pt
0.0000 0.0000 0.0000 Cl
-2.1272 -1.2281 6.9021 Cl
-2.1272 1.2281 13.8043 Cl
0.0000 2.4562 6.9021 Cl
```

Calculated values
Formation energy (no corrections) (meV/atom): -1621
Mass density (kg/m³): 5913
E_tot (eV for the cell shown): -95.01

---

Record 2
Density functional theory data (PBE-GGA) for a relaxed structure of Tm5TlCo2.

```
Tm5TlCo2
1.0
-3.7459 3.7459 6.7241
3.7459 -3.7459 6.7241
3.7459 3.7459 -6.7241
Tm Tl Co
10 2 4
Cartesian
0.0000 0.0000 0.0000 Tm
4.9503 1.2044 -1.7448 Tm
1.2044 2.5416 -1.7448 Tm
4.9503 1.2044 1.7448 Tm
1.2044 2.5416 1.7448 Tm
0.0000 0.0000 6.7241 Tm
2.5416 1.2044 4.9793 Tm
-1.2044 2.5416 4.9793 Tm
2.5416 1.2044 8.4689 Tm
-1.2044 2.5416 8.4689 Tm
0.0000 0.0000 3.3620 Tl
0.0000 0.0000 10.0861 Tl
2.7404 1.0056 0.0000 Co
2.7404 -1.0056 6.7241 Co
1.0056 4.7515 0.0000 Co
1.0056 2.7404 6.7241 Co
```

Calculated values
Mass density (kg/m³): 10268
E_tot (eV for the cell shown): -82.15
Formation energy from the elements (eV/atom): -0.27

---

Record 3
Density functional theory data (PBE-GGA) for a relaxed structure of Cu2GePd5Au2.

```
Cu2GePd5Au2
1.0
9.1965 0.0000 0.0000
0.0000 9.1965 0.0000
0.0000 0.0000 3.7433
Cu Ge Pd Au
4 2 10 4
Cartesian
1.1919 3.4063 0.0000 Cu
3.4063 8.0046 0.0000 Cu
5.7902 1.1919 0.0000 Cu
8.0046 5.7902 0.0000 Cu
0.0000 0.0000 0.0000 Ge
4.5982 4.5982 0.0000 Ge
0.0000 4.5982 1.8716 Pd
0.7326 1.7586 1.8716 Pd
1.7586 8.4639 1.8716 Pd
2.8397 3.8657 1.8716 Pd
3.8657 6.3568 1.8716 Pd
4.5982 0.0000 1.8716 Pd
5.3308 2.8397 1.8716 Pd
6.3568 5.3308 1.8716 Pd
7.4379 0.7326 1.8716 Pd
8.4639 7.4379 1.8716 Pd
1.5312 6.1294 0.0000 Au
3.0671 1.5312 0.0000 Au
6.1294 7.6653 0.0000 Au
7.6653 3.0671 0.0000 Au
```

Calculated values
Mass density (kg/m³): 11809
E_tot (eV for the cell shown): -92.55
Formation energy from the elements (eV/atom): -0.09

---

Record 4
Density functional theory data (PBE-GGA) for a relaxed structure of Ac2Be3AlPt4.

```
Ac2Be3AlPt4
1.0
4.1863 0.0000 0.0000
0.0000 4.1863 0.0000
0.0000 0.0000 10.4621
Ac Be Al Pt
2 3 1 4
Cartesian
0.0000 2.0931 2.5341 Ac
2.0931 0.0000 7.9281 Ac
0.0000 2.0931 9.3592 Be
2.0931 0.0000 1.1030 Be
2.0931 2.0931 5.2311 Be
0.0000 0.0000 5.2311 Al
0.0000 0.0000 0.0000 Pt
0.0000 2.0931 6.6125 Pt
2.0931 0.0000 3.8496 Pt
2.0931 2.0931 0.0000 Pt
```

Calculated values
Mass density (kg/m³): 11668
E_tot (eV for the cell shown): -55.86
Formation energy from the elements (eV/atom): -0.86

---

Record 5
Density functional theory data (PBE-GGA) for a relaxed structure of NaTl2InCu.

```
NaTl2InCu
1.0
5.3293 0.0000 0.0000
0.0000 5.3293 0.0000
0.0000 0.0000 5.1137
Na Tl In Cu
1 2 1 1
Cartesian
0.0000 0.0000 0.0000 Na
0.0000 2.6646 2.5568 Tl
2.6646 0.0000 2.5568 Tl
2.6646 2.6646 0.0000 In
2.6646 2.6646 2.5568 Cu
```

Calculated values
Mass density (kg/m³): 6976
E_tot (eV for the cell shown): -12.38
Formation energy from the elements (eV/atom): 0.10

---

Record 6
Density functional theory data (PBE-GGA) for a relaxed structure of In2Co2Au.

```
In2Co2Au
1.0
7.4717 0.0000 0.0000
0.0000 7.4717 0.0000
0.0000 0.0000 2.9760
In Co Au
4 4 2
Cartesian
1.1316 2.6043 0.0000 In
2.6043 6.3401 0.0000 In
4.8674 1.1316 0.0000 In
6.3401 4.8674 0.0000 In
1.0743 4.8102 1.4880 Co
2.6615 1.0743 1.4880 Co
4.8102 6.3973 1.4880 Co
6.3973 2.6615 1.4880 Co
0.0000 0.0000 0.0000 Au
3.7358 3.7358 0.0000 Au
```

Calculated values
Mass density (kg/m³): 10884
Offset from the most stable computed form (eV per formula unit): 0.83
E_tot (eV for the cell shown): -43.29
Formation energy from the elements (eV/atom): 0.26

---

Record 7
Density functional theory data (PBE-GGA) for a relaxed structure of AlTl2Au.

```
AlTl2Au
1.0
6.2470 0.0000 0.0000
0.0000 8.5004 0.0000
-0.2688 0.0000 3.6382
Al Tl Au
2 4 2
Cartesian
0.0000 0.0000 0.0000 Al
3.1235 4.2502 0.0000 Al
1.4274 2.1251 1.8191 Tl
1.4274 6.3753 1.8191 Tl
4.5508 2.1251 1.8191 Tl
4.5508 6.3753 1.8191 Tl
0.0000 4.2502 0.0000 Au
3.1235 0.0000 0.0000 Au
```

Calculated values
Mass density (kg/m³): 10876
Offset from the most stable computed form (eV per formula unit): 0.94
E_tot (eV for the cell shown): -22.06
Formation energy from the elements (eV/atom): 0.18

---

Record 8
Density functional theory data (PBE-GGA) for a relaxed structure of Li3Ti2CuO6.

```
Li3Ti2CuO6
1.0
6.5560 -1.4756 0.0000
6.5560 1.4756 0.0000
-1.4026 0.0000 5.8812
Li Ti Cu O
3 2 1 6
Cartesian
0.0000 0.0000 0.0000 Li
3.5025 0.0000 3.9500 Li
8.2069 0.0000 1.9312 Li
4.2650 0.0000 1.0574 Ti
7.4444 0.0000 4.8238 Ti
-0.7013 0.0000 2.9406 Cu
2.1632 0.0000 0.3318 O
1.4752 0.0000 3.6336 O
6.0819 0.0000 1.3681 O
5.6275 0.0000 4.5130 O
10.2342 0.0000 2.2476 O
9.5461 0.0000 5.5494 O
```

Calculated values
Formation energy (no corrections) (meV/atom): -2300
Mass density (kg/m³): 4029
E_tot (eV for the cell shown): -82.97

---

Record 9
Density functional theory data (PBE-GGA) for a relaxed structure of Rb2TlSe2.

```
Rb2TlSe2
1.0
10.1432 0.0000 0.0000
0.0000 9.0313 0.0000
-1.5605 0.0000 8.5273
Rb Tl Se
8 4 8
Cartesian
0.7222 2.0373 0.2114 Rb
-0.0581 2.4784 4.4751 Rb
1.7635 5.8551 7.9893 Rb
2.5438 7.6918 3.7257 Rb
6.0389 1.3394 4.8017 Rb
6.8192 3.1762 0.5380 Rb
8.6408 6.5529 4.0522 Rb
7.8605 6.9940 8.3159 Rb
2.5363 0.7274 7.2470 Tl
3.3165 3.7882 2.9833 Tl
5.2662 5.2431 5.5441 Tl
6.0465 8.3038 1.2804 Tl
0.9536 4.9578 2.1338 Se
0.1734 8.5891 6.3975 Se
3.9760 1.2914 1.7528 Se
3.1957 3.2243 6.0164 Se
5.3870 5.8070 2.5109 Se
4.6067 7.7399 6.7746 Se
8.4093 0.4422 2.1299 Se
7.6291 4.0734 6.3936 Se
```

Calculated values
Formation energy (no corrections) (meV/atom): -831
Mass density (kg/m³): 4534
Offset from the most stable computed form (eV per formula unit): 0.00
E_tot (eV for the cell shown): -61.69

---

Record 10
Density functional theory data (PBE-GGA) for a relaxed structure of KGaGe.

```
KGaGe
1.0
7.1619 0.0000 0.0000
0.0000 11.8516 0.0000
0.0000 0.0000 4.3328
K Ga Ge
4 4 4
Cartesian
1.7905 0.0000 0.0000 K
1.7905 5.9258 0.0000 K
5.3714 0.0000 0.0000 K
5.3714 5.9258 0.0000 K
1.7905 2.9629 2.1664 Ga
1.7905 8.8887 2.1664 Ga
5.3714 2.9629 2.1664 Ga
5.3714 8.8887 2.1664 Ga
0.0000 2.9629 0.4480 Ge
0.0000 8.8887 3.8848 Ge
3.5809 2.9629 3.8848 Ge
3.5809 8.8887 0.4480 Ge
```

Calculated values
Mass density (kg/m³): 3277
E_tot (eV for the cell shown): -34.35
Formation energy from the elements (eV/atom): 0.05

---

Record 11
Density functional theory data (PBE-GGA) for a relaxed structure of TlGeSbO6.

```
TlGeSbO6
1.0
5.1902 0.0000 0.0000
-2.5951 4.4948 0.0000
0.0000 0.0000 9.5967
Tl Ge Sb O
2 2 2 12
Cartesian
0.0000 0.0000 0.0000 Tl
0.0000 0.0000 4.7984 Tl
0.0000 2.9965 2.3992 Ge
2.5951 1.4983 7.1975 Ge
0.0000 2.9965 7.1975 Sb
2.5951 1.4983 2.3992 Sb
-0.9064 1.6789 1.3270 O
-1.5943 2.8704 3.4714 O
0.9064 1.6789 3.4714 O
-0.6879 4.4403 1.3270 O
1.9072 0.0545 6.1253 O
1.0008 1.6244 8.2697 O
1.5943 2.8704 1.3270 O
0.6879 4.4403 3.4714 O
3.2830 0.0545 8.2697 O
1.6887 2.8159 6.1253 O
4.1894 1.6244 6.1253 O
3.5015 2.8159 8.2697 O
```

Calculated values
Formation energy (no corrections) (meV/atom): -1279
Mass density (kg/m³): 7340
E_tot (eV for the cell shown): -104.74

---

Record 12
Density functional theory data (PBE-GGA) for a relaxed structure of SrS2IN.

```
SrS2IN
1.0
5.8677 0.0000 0.0000
0.0000 5.8677 0.0000
0.0000 0.0000 4.5414
Sr S I N
1 2 1 1
Cartesian
0.0000 0.0000 0.0000 Sr
0.0000 2.9339 0.0000 S
2.9339 0.0000 0.0000 S
2.9339 2.9339 2.2707 I
0.0000 0.0000 2.2707 N
```

Calculated values
Formation energy (no corrections) (meV/atom): 1108
Mass density (kg/m³): 3108
Offset from the most stable computed form (eV per formula unit): 4.69
E_tot (eV for the cell shown): -14.27

---

> Which of these has the lowest E_tot?

TlGeSbO6